DFT (PBE+U) results for a geometry-optimized Li4CoOF5 structure.

Values from the calculation:
**E**: -4.9209 eV/atom
**Symmetry**: No. 12
**Density**: 2.91 g/cm³

a = 3.696 Å, b = 5.487 Å, c = 6.561 Å
α = 66.16°, β = 73.64°, γ = 70.32°
Each line ends with the local moment (μB).
Positions (direct):
Li 0.635 0.614 0.117  0.00
Li 0.365 0.386 0.883  0.00
Li 0.668 0.973 0.692  0.00
Li 0.332 0.027 0.308  0.00
Co 0.000 0.500 0.500  3.17
O 0.500 0.500 0.500  0.45
F 0.500 0.000 0.000  0.00
F 0.148 0.084 0.619  0.07
F 0.852 0.916 0.381  0.07
F 0.183 0.455 0.179  0.06
F 0.817 0.545 0.821  0.06